The following is a GGA-PBE calculation of Tb8Er6Al after structural relaxation, from the Alexandria database.

Unit cell a=6.214 b=9.314 c=9.314 alpha=120.00 beta=90.00 gamma=90.00
Element x y z (fractional)
Tb: 0.192 0.667 0.333
Tb: 0.808 0.333 0.667
Tb: 0.804 0.221 0.958
Tb: 0.196 0.263 0.221
Tb: 0.196 0.779 0.042
Tb: 0.804 0.737 0.779
Tb: 0.196 0.958 0.737
Tb: 0.804 0.042 0.263
Er: 0.313 0.361 0.905
Er: 0.687 0.905 0.544
Er: 0.313 0.544 0.639
Er: 0.687 0.639 0.095
Er: 0.687 0.456 0.361
Er: 0.313 0.095 0.456
Al: 0.500 0.000 0.000

Values from the calculation:
The calculated density is 8.19 Mg/m³. The formation energy is 99 meV/atom. As for the total energy: -4.445 eV/atom. The calculated volume is 31.12 A^3/atom. The magnetic moment is 0.00 μB per formula unit.